1.
DFT (PBE) results for a relaxed ScHgS2 crystal.

Summary:
**Formation energy (no corrections)**: -25.0 kcal/mol of atoms
**Crystal system**: trigonal

Cell lengths 8.296, 8.296, 8.296 Å; angles 26.12, 26.12, 26.12 degrees
Positions (direct):
Sc 0.000 0.000 0.000
Hg 0.500 0.500 0.500
S 0.392 0.392 0.392
S 0.608 0.608 0.608

2.
DFT (PBE) results for a relaxed Pm2Pt3Rh crystal.

Summary:
**Crystal system**: monoclinic
**Energy relative to the elements**: -0.985 eV/atom

Cell lengths 5.468, 5.468, 5.483 Å; angles 119.90, 119.90, 59.93 degrees
Positions (direct):
Pm 0.125 0.125 0.376
Pm 0.875 0.875 0.624
Pt 0.000 0.500 0.000
Pt 0.500 0.000 0.000
Pt 0.500 0.500 0.000
Rh 0.500 0.500 0.500

3.
DFT (PBE) results for a relaxed Tl2NiBr2Cl4 crystal.

Summary:
**Formation energy (no corrections)**: -14.5 kcal/mol of atoms
**Crystal system**: tetragonal

Cell lengths 7.064, 7.064, 7.064 Å; angles 118.99, 118.99, 91.76 degrees
Positions (direct):
Tl 0.250 0.750 0.500
Tl 0.750 0.250 0.500
Ni 0.000 0.000 0.000
Br 0.246 0.246 0.000
Br 0.754 0.754 0.000
Cl 0.221 0.221 0.442
Cl 0.221 0.779 0.000
Cl 0.779 0.221 0.000
Cl 0.779 0.779 0.558

4.
DFT (PBE) results for a relaxed Sb2PdC crystal.

Summary:
**Formation energy (no corrections)**: 11.6 kcal/mol of atoms
**Crystal system**: tetragonal

Cell lengths 6.506, 6.506, 6.506 Å; angles 126.85, 126.85, 78.50 degrees
Positions (direct):
Sb 0.075 0.625 0.950
Sb 0.375 0.325 0.450
Sb 0.675 0.125 0.050
Sb 0.875 0.925 0.550
Pd 0.250 0.750 0.500
Pd 0.500 0.500 0.000
C 0.000 0.000 0.000
C 0.750 0.250 0.500

5.
DFT (PBE) results for a relaxed Li4IrF8 crystal.

Summary:
**Formation energy (no corrections)**: -44.5 kcal/mol of atoms
**Crystal system**: cubic

Cell lengths 6.077, 6.077, 6.077 Å; angles 60.00, 60.00, 60.00 degrees
Positions (direct):
Li 0.111 0.111 0.111
Li 0.111 0.111 0.668
Li 0.111 0.668 0.111
Li 0.668 0.111 0.111
Ir 0.500 0.500 0.500
F 0.336 0.888 0.888
F 0.365 0.365 0.365
F 0.365 0.365 0.905
F 0.365 0.905 0.365
F 0.888 0.336 0.888
F 0.888 0.888 0.336
F 0.888 0.888 0.888
F 0.905 0.365 0.365

6.
DFT (PBE) results for a relaxed HfCr3Ni crystal.

Summary:
**Crystal system**: cubic
**Energy relative to the elements**: 0.989 eV/atom

Cell lengths 4.409, 4.409, 4.409 Å; angles 90.00, 90.00, 90.00 degrees
Positions (direct):
Hf 0.000 0.000 0.000
Cr 0.000 0.500 0.500
Cr 0.500 0.000 0.500
Cr 0.500 0.500 0.000
Ni 0.500 0.500 0.500

7.
DFT (PBE) results for a relaxed MnFeHIrPd crystal.

Summary:
**Crystal system**: orthorhombic
**Energy above the lowest structure with this stoichiometry**: 0.098 eV per atom

Cell lengths 4.293, 5.230, 5.230 Å; angles 30.62, 90.00, 90.00 degrees
Positions (direct):
Mn 0.000 0.000 0.000
Fe 0.500 0.850 0.850
H 0.500 0.198 0.198
Ir 0.500 0.576 0.576
Pd 0.000 0.260 0.260

8.
DFT (PBE) results for a relaxed Sr2CuBiN crystal.

Summary:
**Formation energy (no corrections)**: -12.0 kcal/mol of atoms
**Crystal system**: tetragonal

Cell lengths 5.717, 5.717, 3.721 Å; angles 90.00, 90.00, 90.00 degrees
Positions (direct):
Sr 0.000 0.500 0.000
Sr 0.500 0.000 0.000
Cu 0.000 0.000 0.500
Bi 0.500 0.500 0.500
N 0.000 0.000 0.000

9.
DFT (PBE) results for a relaxed Pm5Er2Sb5 crystal.

Summary:
**Formation energy (no corrections)**: -20.7 kcal/mol of atoms
**Crystal system**: monoclinic

Cell lengths 7.603, 7.603, 12.749 Å; angles 109.66, 109.66, 33.84 degrees
Positions (direct):
Pm 0.000 0.000 0.000
Pm 0.161 0.161 0.538
Pm 0.226 0.226 0.846
Pm 0.774 0.774 0.154
Pm 0.839 0.839 0.462
Er 0.453 0.453 0.710
Er 0.547 0.547 0.290
Sb 0.189 0.189 0.287
Sb 0.384 0.384 0.076
Sb 0.500 0.500 0.500
Sb 0.616 0.616 0.924
Sb 0.811 0.811 0.713

10.
DFT (PBE) results for a relaxed CeBeCo4Si2 crystal.

Summary:
**Formation energy (no corrections)**: -13.0 kcal/mol of atoms
**Crystal system**: trigonal

Cell lengths 8.253, 8.253, 8.253 Å; angles 26.78, 26.78, 26.78 degrees
Positions (direct):
Ce 0.000 0.000 0.000
Be 0.500 0.500 0.500
Co 0.135 0.135 0.135
Co 0.407 0.407 0.407
Co 0.593 0.593 0.593
Co 0.865 0.865 0.865
Si 0.233 0.233 0.233
Si 0.767 0.767 0.767

11.
DFT (PBE) results for a relaxed Ba2La4As3O2 crystal.

Summary:
**Formation energy (no corrections)**: -42.3 kcal/mol of atoms
**Crystal system**: tetragonal

Cell lengths 13.400, 13.400, 13.400 Å; angles 159.09, 159.09, 29.75 degrees
Positions (direct):
Ba 0.199 0.199 0.000
Ba 0.801 0.801 0.000
La 0.077 0.577 0.500
La 0.423 0.923 0.500
La 0.577 0.077 0.500
La 0.923 0.423 0.500
As 0.335 0.335 0.000
As 0.500 0.500 0.000
As 0.665 0.665 0.000
O 0.094 0.094 0.000
O 0.906 0.906 0.000

12.
DFT (PBE) results for a relaxed PmNd5Sn3 crystal.

Summary:
**Crystal system**: tetragonal
**Energy relative to the elements**: -0.316 eV/atom
**Energy above the lowest structure with this stoichiometry**: 0.259 eV per atom

Cell lengths 10.073, 10.073, 10.073 Å; angles 131.58, 131.58, 70.90 degrees
Positions (direct):
Pm 0.250 0.750 0.500
Pm 0.750 0.250 0.500
Nd 0.000 0.000 0.000
Nd 0.066 0.566 0.901
Nd 0.165 0.066 0.500
Nd 0.335 0.835 0.901
Nd 0.434 0.335 0.500
Nd 0.500 0.500 0.000
Nd 0.566 0.665 0.500
Nd 0.665 0.165 0.099
Nd 0.835 0.934 0.500
Nd 0.934 0.434 0.099
Sn 0.119 0.381 0.500
Sn 0.250 0.250 0.000
Sn 0.381 0.881 0.262
Sn 0.619 0.119 0.738
Sn 0.750 0.750 0.000
Sn 0.881 0.619 0.500